# Pm5HoIn6

A relaxed structure of Pm5HoIn6 (PBE, Alexandria).

Cell lengths 9.119, 9.119, 9.119 Å; angles 147.68, 123.06, 67.01 degrees
Fractional coordinates of all 12 atoms:
Pm: 0.000 0.000 0.000
Pm: 0.166 0.666 0.500
Pm: 0.332 0.332 0.000
Pm: 0.668 0.668 0.000
Pm: 0.834 0.334 0.500
Ho: 0.500 0.000 0.500
In: 0.087 0.835 0.252
In: 0.254 0.500 0.754
In: 0.417 0.165 0.252
In: 0.583 0.835 0.748
In: 0.746 0.500 0.246
In: 0.913 0.165 0.748

formation energy from the elements: -5.84 eV/f.u.
D(E_F): 0.560 states/eV/atom
E: -0.1550 Ha/atom